The following is a DFT calculation (PBE-GGA) of crystalline TbNd2S4 at its relaxed geometry.

Structure (CIF):
```
data_TbNd2S4
_space_group_name_H-M_alt 'C m c m'
_space_group_IT_number 63
_space_group_name_Hall '-C 2c 2'
_cell_length_a 3.884
_cell_length_b 13.457
_cell_length_c 13.433
_cell_angle_alpha 90.00
_cell_angle_beta 90.00
_cell_angle_gamma 90.00
loop_
_atom_site_label
_atom_site_fract_x
_atom_site_fract_y
_atom_site_fract_z
Tb1 0.000 0.127 0.250
Nd1 0.000 0.371 0.072
S1 0.000 0.000 0.000
S2 0.000 0.279 0.625
S3 0.000 0.481 0.250
```

Computed properties:
Formation energy from raw total energies = -2.012 eV per atom
Distance to the lowest polymorph of the same formula = 7 meV/atom
E_tot = -179.0 eV/cell